(1)
! SrTlNiSn2, optimized geometry, DFT GGA-PBE; values from VASP
! **Crystal system**: tetragonal
! **Formation enthalpy at 0 K**: -205 meV/atom
&SYSTEM
  ibrav = 0, nat = 5, ntyp = 4
/
ATOMIC_SPECIES
Sr 87.62 Sr.upf
Tl 204.38 Tl.upf
Ni 58.69 Ni.upf
Sn 118.71 Sn.upf
CELL_PARAMETERS angstrom
4.9952 0.0000 0.0000
0.0000 4.9952 0.0000
0.0000 0.0000 5.6032
ATOMIC_POSITIONS crystal
Sr 0.0000 0.0000 0.0000
Tl 0.5000 0.5000 0.0000
Ni 0.0000 0.0000 0.5000
Sn 0.0000 0.5000 0.5000
Sn 0.5000 0.0000 0.5000

(2)
! Nb3Pb2O9, optimized geometry, DFT GGA-PBE; values from VASP
! **Crystal system**: monoclinic
! **Raw formation energy**: -2051 meV/atom
&SYSTEM
  ibrav = 0, nat = 28, ntyp = 3
/
ATOMIC_SPECIES
Nb 92.91 Nb.upf
Pb 207.20 Pb.upf
O 16.00 O.upf
CELL_PARAMETERS angstrom
4.4113 -7.3750 0.0000
4.4113 7.3750 0.0000
-3.3722 0.0000 7.2931
ATOMIC_POSITIONS crystal
Nb 0.0440 0.2703 0.2058
Nb 0.1972 0.1972 0.8572
Nb 0.2703 0.0440 0.2058
Nb 0.7297 0.9560 0.7942
Nb 0.8028 0.8028 0.1428
Nb 0.9560 0.7297 0.7942
Pb 0.2845 0.6037 0.7177
Pb 0.3963 0.7155 0.2823
Pb 0.6037 0.2845 0.7177
Pb 0.7155 0.3963 0.2823
O 0.0672 0.8814 0.2757
O 0.1186 0.9328 0.7243
O 0.1277 0.5117 0.3726
O 0.1921 0.8079 0.0000
O 0.1994 0.3901 0.0534
O 0.2611 0.2611 0.3282
O 0.3435 0.3435 0.7432
O 0.3901 0.1994 0.0534
O 0.4883 0.8723 0.6274
O 0.5117 0.1277 0.3726
O 0.6099 0.8006 0.9466
O 0.6565 0.6565 0.2568
O 0.7389 0.7389 0.6718
O 0.8006 0.6099 0.9466
O 0.8079 0.1921 0.0000
O 0.8723 0.4883 0.6274
O 0.8814 0.0672 0.2757
O 0.9328 0.1186 0.7243

(3)
! Zr2TiCu, optimized geometry, DFT GGA-PBE; values from VASP
! **Crystal system**: tetragonal
! **Formation enthalpy at 0 K**: 475 meV/atom
&SYSTEM
  ibrav = 0, nat = 8, ntyp = 3
/
ATOMIC_SPECIES
Zr 91.22 Zr.upf
Ti 47.87 Ti.upf
Cu 63.55 Cu.upf
CELL_PARAMETERS angstrom
-2.0114 2.0114 9.8233
2.0114 -2.0114 9.8233
2.0114 2.0114 -9.8233
ATOMIC_POSITIONS crystal
Zr 0.1214 0.6250 0.9964
Zr 0.3750 0.3714 0.4964
Zr 0.6286 0.1250 0.0036
Zr 0.8750 0.8786 0.5036
Ti 0.2500 0.7500 0.5000
Ti 0.5000 0.5000 0.0000
Cu 0.0000 0.0000 0.0000
Cu 0.7500 0.2500 0.5000

(4)
! MnV3Ir, optimized geometry, DFT GGA-PBE; values from VASP
! **Crystal system**: cubic
! **Formation enthalpy at 0 K**: 701 meV/atom
&SYSTEM
  ibrav = 0, nat = 5, ntyp = 3
/
ATOMIC_SPECIES
Mn 54.94 Mn.upf
V 50.94 V.upf
Ir 192.22 Ir.upf
CELL_PARAMETERS angstrom
4.2145 0.0000 0.0000
0.0000 4.2145 0.0000
0.0000 0.0000 4.2145
ATOMIC_POSITIONS crystal
Mn 0.0000 0.0000 0.0000
V 0.0000 0.0000 0.5000
V 0.0000 0.5000 0.0000
V 0.5000 0.0000 0.0000
Ir 0.5000 0.5000 0.5000

(5)
! TbPm3Tm2, optimized geometry, DFT GGA-PBE; values from VASP
! **Crystal system**: monoclinic
! **Formation enthalpy at 0 K**: 9 meV/atom
&SYSTEM
  ibrav = 0, nat = 12, ntyp = 3
/
ATOMIC_SPECIES
Tb 158.93 Tb.upf
Pm 145.00 Pm.upf
Tm 168.93 Tm.upf
CELL_PARAMETERS angstrom
6.2126 0.0000 0.0000
0.0000 3.5922 0.0000
-2.0743 0.0000 17.3985
ATOMIC_POSITIONS crystal
Tb 0.1370 0.2500 0.1662
Tb 0.8630 0.7500 0.8338
Pm 0.2474 0.2500 0.4973
Pm 0.3615 0.2500 0.8357
Pm 0.4740 0.7500 0.6680
Pm 0.5260 0.2500 0.3320
Pm 0.6385 0.7500 0.1643
Pm 0.7526 0.7500 0.5027
Tm 0.0239 0.7500 0.3312
Tm 0.2487 0.7500 0.0004
Tm 0.7513 0.2500 0.9996
Tm 0.9761 0.2500 0.6688

(6)
! LaErTm3, optimized geometry, DFT GGA-PBE; values from VASP
! **Crystal system**: orthorhombic
! **Formation enthalpy at 0 K**: 187 meV/atom
&SYSTEM
  ibrav = 0, nat = 20, ntyp = 3
/
ATOMIC_SPECIES
La 138.91 La.upf
Er 167.26 Er.upf
Tm 168.93 Tm.upf
CELL_PARAMETERS angstrom
11.7619 0.0000 0.0000
0.0000 10.2932 0.0000
0.0000 0.0000 5.4451
ATOMIC_POSITIONS crystal
La 0.0507 0.2500 0.0001
La 0.4493 0.7500 0.5001
La 0.5507 0.2500 0.4999
La 0.9493 0.7500 0.9999
Er 0.0000 0.0000 0.5000
Er 0.0000 0.5000 0.5000
Er 0.5000 0.0000 0.0000
Er 0.5000 0.5000 0.0000
Tm 0.1722 0.7500 0.4988
Tm 0.1921 0.5630 0.9991
Tm 0.1921 0.9370 0.9991
Tm 0.3079 0.0630 0.4991
Tm 0.3079 0.4370 0.4991
Tm 0.3278 0.2500 0.9988
Tm 0.6722 0.7500 0.0012
Tm 0.6921 0.5630 0.5009
Tm 0.6921 0.9370 0.5009
Tm 0.8079 0.0630 0.0009
Tm 0.8079 0.4370 0.0009
Tm 0.8278 0.2500 0.5012

(7)
! Y2HRu, optimized geometry, DFT GGA-PBE; values from VASP
! **Crystal system**: tetragonal
! **Total energy**: -6.5502 eV/atom
&SYSTEM
  ibrav = 0, nat = 4, ntyp = 3
/
ATOMIC_SPECIES
Y 88.91 Y.upf
H 1.01 H.upf
Ru 101.07 Ru.upf
CELL_PARAMETERS angstrom
3.2884 0.0000 0.0000
0.0000 3.2884 0.0000
0.0000 0.0000 7.0677
ATOMIC_POSITIONS crystal
Y 0.0000 0.0000 0.2425
Y 0.0000 0.0000 0.7575
H 0.5000 0.5000 0.5000
Ru 0.5000 0.5000 0.0000

(8)
! KCo2Ni, optimized geometry, DFT GGA-PBE; values from VASP
! **Crystal system**: cubic
! **Formation enthalpy at 0 K**: 1310 meV/atom
&SYSTEM
  ibrav = 0, nat = 4, ntyp = 3
/
ATOMIC_SPECIES
K 39.10 K.upf
Co 58.93 Co.upf
Ni 58.69 Ni.upf
CELL_PARAMETERS angstrom
0.0000 3.1363 3.1363
3.1363 0.0000 3.1363
3.1363 3.1363 0.0000
ATOMIC_POSITIONS crystal
K 0.0000 0.0000 0.0000
Co 0.2500 0.2500 0.2500
Co 0.7500 0.7500 0.7500
Ni 0.5000 0.5000 0.5000